(1)
Crystalline Sr3La at its relaxed geometry, computed with PBE.

Lattice parameters (Å, degrees): 6.5319 6.5319 4.5048 90.00 90.00 90.00
Last column: nearest neighbours and their distance in Å.
Element x y z (fractional)
Sr (0.0000, 0.0000, 0.0000)  8 Sr 3.97
Sr (0.0000, 0.5000, 0.5000)  4 La 3.97, 4 Sr 3.97
Sr (0.5000, 0.0000, 0.5000)  4 La 3.97, 4 Sr 3.97
La (0.5000, 0.5000, 0.0000)  8 Sr 3.97

Computed properties:
The value obtained for the formation energy from the elements is 0.13 eV per atom. As for the energy relative to the lowest polymorph listed for this composition: 0.040 eV per atom. The value obtained for the volume is 48.05 Å³/atom. The density of states at the Fermi level is 1.2983 states/eV per atom. The space-group type is P4/mmm (123). The calculation puts the final energy at -2.360 eV per atom. As for the size of the total moment: 0.000 μB per atom.

---

(2)
Crystalline Dy3Tm6Cd at its relaxed geometry, computed with PBE.

Lattice parameters (Å, degrees): 9.4685 5.4980 12.2249 90.00 110.86 90.00
Last column: nearest neighbours and their distance in Å.
Element x y z (fractional)
Dy (0.0262, 0.2500, 0.3723)  9 Tm 3.38-3.59, 2 Dy 3.51
Dy (0.1021, 0.7500, 0.2228)  8 Tm 3.32-3.56, 3 Dy 3.50-3.51
Dy (0.2722, 0.2500, 0.9721)  11 Tm 3.43-3.78, 1 Dy 3.50
Dy (0.7278, 0.7500, 0.0279)  11 Tm 3.43-3.78, 1 Dy 3.50
Dy (0.8979, 0.2500, 0.7772)  8 Tm 3.32-3.56, 3 Dy 3.50-3.51
Dy (0.9738, 0.7500, 0.6277)  9 Tm 3.38-3.59, 2 Dy 3.51
Tm (0.0375, 0.7500, 0.9298)  7 Dy 3.32-3.54, 4 Tm 3.45-3.66
Tm (0.1947, 0.2500, 0.6701)  1 Cd 3.12, 2 Tm 3.36, 5 Dy 3.38-3.50
Tm (0.2637, 0.7500, 0.5149)  3 Cd 3.18-3.29, 2 Dy 3.35-3.48, 2 Tm 3.53
Tm (0.3483, 0.7500, 0.8257)  8 Tm 3.36-3.69, 4 Dy 3.49-3.56
Tm (0.3486, 0.2500, 0.2976)  3 Cd 3.27-3.30, 3 Dy 3.48-3.51, 3 Tm 3.57-3.59
Tm (0.4262, 0.7500, 0.1392)  1 Cd 3.17, 3 Tm 3.41-3.52, 2 Dy 3.43
Tm (0.5738, 0.2500, 0.8608)  1 Cd 3.17, 3 Tm 3.41-3.52, 2 Dy 3.43
Tm (0.6514, 0.7500, 0.7024)  3 Cd 3.27-3.30, 3 Dy 3.48-3.51, 3 Tm 3.57-3.59
Tm (0.6517, 0.2500, 0.1743)  8 Tm 3.36-3.69, 4 Dy 3.49-3.56
Tm (0.7363, 0.2500, 0.4851)  3 Cd 3.18-3.29, 2 Dy 3.35-3.48, 2 Tm 3.53
Tm (0.8053, 0.7500, 0.3299)  1 Cd 3.12, 2 Tm 3.36, 5 Dy 3.38-3.50
Tm (0.9625, 0.2500, 0.0702)  7 Dy 3.32-3.54, 4 Tm 3.45-3.66
Cd (0.4681, 0.2500, 0.5837)  8 Tm 3.12-3.30
Cd (0.5319, 0.7500, 0.4163)  8 Tm 3.12-3.30

Computed properties:
The value obtained for the formation energy from the elements is -0.03 eV per atom. As for the energy relative to the lowest polymorph listed for this composition: 0.000 eV per atom. The value obtained for the volume is 29.73 Å³/atom. The density of states at the Fermi level is 1.5374 states/eV per atom. The space-group type is P2_1/m (11). The calculation puts the final energy at -4.187 eV per atom. As for the size of the total moment: 0.000 μB per atom.

---

(3)
Crystalline SmGaCo at its relaxed geometry, computed with PBE.

Lattice parameters (Å, degrees): 8.1714 4.1218 7.6103 90.00 90.00 90.00
Last column: nearest neighbours and their distance in Å.
Element x y z (fractional)
Sm (0.2193, 0.2500, 0.0730)  3 Co 2.70-3.01
Sm (0.2807, 0.7500, 0.5730)  3 Co 2.70-3.01
Sm (0.7193, 0.2500, 0.4270)  3 Co 2.70-3.01
Sm (0.7807, 0.7500, 0.9270)  3 Co 2.70-3.01
Ga (0.0043, 0.7500, 0.2652)  3 Co 2.39-2.43
Ga (0.4957, 0.2500, 0.7652)  3 Co 2.39-2.43
Ga (0.5043, 0.7500, 0.2348)  3 Co 2.39-2.43
Ga (0.9957, 0.2500, 0.7348)  3 Co 2.39-2.43
Co (0.0495, 0.2500, 0.4267)  3 Ga 2.39-2.43, 2 Co 2.48
Co (0.4505, 0.7500, 0.9267)  3 Ga 2.39-2.43, 2 Co 2.48
Co (0.5495, 0.2500, 0.0733)  3 Ga 2.39-2.43, 2 Co 2.48
Co (0.9505, 0.7500, 0.5733)  3 Ga 2.39-2.43, 2 Co 2.48

Computed properties:
The value obtained for the formation energy from the elements is -0.29 eV per atom. The value obtained for the volume is 21.36 Å³/atom. The density of states at the Fermi level is 0.9064 states/eV per atom. The space-group type is Pnma (62). The calculation puts the final energy at -5.238 eV per atom. As for the size of the total moment: 0.000 μB per atom.

---

(4)
Crystalline UInGa at its relaxed geometry, computed with PBE.

Lattice parameters (Å, degrees): 3.0586 3.0586 7.9894 90.00 90.00 120.00
Last column: nearest neighbours and their distance in Å.
Element x y z (fractional)
U (0.0000, 0.0000, 0.0000)  6 U 3.06, 3 Ga 3.14, 3 In 3.36
In (0.3333, 0.6667, 0.6421)  6 In 3.06, 3 Ga 3.09, 3 U 3.36
Ga (0.6667, 0.3333, 0.3251)  6 Ga 3.06, 3 In 3.09, 3 U 3.14

Computed properties:
The value obtained for the formation energy from the elements is 0.06 eV per atom. As for the energy relative to the lowest polymorph listed for this composition: 0.000 eV per atom. The value obtained for the volume is 21.58 Å³/atom. The density of states at the Fermi level is 1.8042 states/eV per atom. The space-group type is P3m1 (156). The calculation puts the final energy at -5.620 eV per atom. As for the size of the total moment: 0.669 μB per atom.

---

(5)
Crystalline SrTc4O12 at its relaxed geometry, computed with PBE.

Lattice parameters (Å, degrees): 6.6460 6.6460 6.6460 109.47 109.47 109.47
Last column: nearest neighbours and their distance in Å.
Element x y z (fractional)
Sr (0.0000, 0.0000, 0.0000)  12 O 2.69
Tc (0.0000, 0.0000, 0.5000)  6 O 1.92
Tc (0.0000, 0.5000, 0.0000)  6 O 1.92
Tc (0.5000, 0.0000, 0.0000)  6 O 1.92
Tc (0.5000, 0.5000, 0.5000)  6 O 1.92
O (0.0000, 0.2475, 0.7525)  2 Tc 1.92
O (0.0000, 0.7525, 0.2475)  2 Tc 1.92
O (0.2475, 0.0000, 0.7525)  2 Tc 1.92
O (0.2475, 0.2475, 0.4950)  2 Tc 1.92
O (0.2475, 0.4950, 0.2475)  2 Tc 1.92
O (0.2475, 0.7525, 0.0000)  2 Tc 1.92
O (0.4950, 0.2475, 0.2475)  2 Tc 1.92
O (0.5050, 0.7525, 0.7525)  2 Tc 1.92
O (0.7525, 0.0000, 0.2475)  2 Tc 1.92
O (0.7525, 0.2475, 0.0000)  2 Tc 1.92
O (0.7525, 0.5050, 0.7525)  2 Tc 1.92
O (0.7525, 0.7525, 0.5050)  2 Tc 1.92

Computed properties:
The value obtained for the volume is 13.29 Å³/atom. The density of states at the Fermi level is 0.8018 states/eV per atom. The space-group type is Im-3m (229). The calculation puts the final energy at -7.596 eV per atom. As for the size of the total moment: 0.000 μB per atom. The formation energy (no corrections) is -1.558 eV/atom.

---

(6)
Crystalline K4Ba2B14H16O33 at its relaxed geometry, computed with PBE.

Lattice parameters (Å, degrees): 9.2092 13.0746 13.4421 105.94 94.61 105.98
Last column: nearest neighbours and their distance in Å.
Element x y z (fractional)
K (0.0581, 0.1672, 0.1033)  7 O 2.75-3.01, 1 H 3.02
K (0.0615, 0.1649, 0.6024)  7 O 2.73-3.02
K (0.3049, 0.4176, 0.3887)  4 O 2.70-2.92, 3 H 2.71-2.95
K (0.3451, 0.3720, 0.9142)  5 O 2.66-2.88, 1 H 2.91
K (0.6549, 0.6280, 0.0858)  5 O 2.66-2.88, 1 H 2.91
K (0.6951, 0.5824, 0.6113)  4 O 2.70-2.92, 3 H 2.71-2.95
K (0.9385, 0.8351, 0.3976)  7 O 2.73-3.02
K (0.9419, 0.8328, 0.8967)  7 O 2.75-3.01, 1 H 3.02
Ba (0.3181, 0.8607, 0.5947)  8 O 2.75-3.02, 1 H 3.05
Ba (0.3288, 0.8759, 0.1031)  9 O 2.72-3.00
Ba (0.6712, 0.1241, 0.8969)  9 O 2.72-3.00
Ba (0.6819, 0.1393, 0.4053)  8 O 2.75-3.02, 1 H 3.05
B (0.1156, 0.6292, 0.7074)  4 O 1.45-1.52
B (0.1174, 0.1239, 0.8523)  3 O 1.36-1.40
B (0.1195, 0.1355, 0.3618)  3 O 1.37-1.40
B (0.1387, 0.6277, 0.1464)  4 O 1.47-1.51
B (0.2835, 0.0222, 0.3911)  4 O 1.46-1.50
B (0.2834, 0.5042, 0.7004)  3 O 1.38-1.39
B (0.2842, 0.0186, 0.8933)  4 O 1.47-1.51
B (0.2972, 0.5082, 0.1720)  3 O 1.37-1.40
B (0.3390, 0.1328, 0.2624)  4 O 1.47-1.51
B (0.3441, 0.1204, 0.7583)  4 O 1.46-1.51
B (0.4133, 0.7111, 0.7467)  4 O 1.46-1.51
B (0.4172, 0.1477, 0.0880)  3 O 1.37-1.38
B (0.4170, 0.7185, 0.2495)  4 O 1.45-1.52
B (0.4195, 0.1393, 0.5857)  3 O 1.36-1.38
B (0.5805, 0.8607, 0.4143)  3 O 1.36-1.38
B (0.5830, 0.2815, 0.7505)  4 O 1.45-1.52
B (0.5828, 0.8523, 0.9120)  3 O 1.37-1.38
B (0.5867, 0.2889, 0.2533)  4 O 1.46-1.51
B (0.6559, 0.8796, 0.2417)  4 O 1.46-1.51
B (0.6610, 0.8672, 0.7376)  4 O 1.47-1.51
B (0.7028, 0.4918, 0.8280)  3 O 1.37-1.40
B (0.7158, 0.9814, 0.1067)  4 O 1.47-1.51
B (0.7166, 0.4958, 0.2996)  3 O 1.38-1.39
B (0.7165, 0.9778, 0.6089)  4 O 1.46-1.50
B (0.8613, 0.3723, 0.8536)  4 O 1.47-1.51
B (0.8805, 0.8645, 0.6382)  3 O 1.37-1.40
B (0.8826, 0.8761, 0.1477)  3 O 1.36-1.40
B (0.8844, 0.3708, 0.2926)  4 O 1.45-1.52
H (0.0074, 0.2540, 0.3815)  1 O 1.01
H (0.0123, 0.2403, 0.8557)  1 O 1.00
H (0.0212, 0.4090, 0.1870)  1 O 0.98
H (0.0270, 0.6020, 0.3766)  1 O 0.99
H (0.0537, 0.6040, 0.5486)  1 O 0.98
H (0.0583, 0.4075, 0.7895)  1 O 0.98
H (0.0692, 0.6067, 0.9901)  1 O 0.98
H (0.1737, 0.6815, 0.3532)  1 O 0.99
H (0.2547, 0.8514, 0.3352)  1 O 0.98
H (0.2597, 0.8483, 0.8457)  1 O 0.98
H (0.3019, 0.6057, 0.9869)  1 O 1.00
H (0.3961, 0.3973, 0.7104)  1 O 0.99
H (0.4131, 0.4042, 0.1883)  1 O 0.99
H (0.4175, 0.6493, 0.9184)  1 O 1.00
H (0.4759, 0.6746, 0.4451)  1 O 0.99
H (0.4909, 0.6850, 0.5656)  1 O 1.00
H (0.5091, 0.3150, 0.4344)  1 O 1.00
H (0.5241, 0.3254, 0.5549)  1 O 0.99
H (0.5825, 0.3507, 0.0816)  1 O 1.00
H (0.5869, 0.5958, 0.8117)  1 O 0.99
H (0.6039, 0.6027, 0.2896)  1 O 0.99
H (0.6981, 0.3943, 0.0131)  1 O 1.00
H (0.7403, 0.1517, 0.1543)  1 O 0.98
H (0.7453, 0.1486, 0.6648)  1 O 0.98
H (0.8263, 0.3185, 0.6468)  1 O 0.99
H (0.9308, 0.3933, 0.0099)  1 O 0.98
H (0.9417, 0.5925, 0.2105)  1 O 0.98
H (0.9463, 0.3960, 0.4514)  1 O 0.98
H (0.9730, 0.3980, 0.6234)  1 O 0.99
H (0.9788, 0.5910, 0.8130)  1 O 0.98
H (0.9877, 0.7597, 0.1443)  1 O 1.00
H (0.9926, 0.7460, 0.6185)  1 O 1.01
O (0.0044, 0.1812, 0.3949)  1 H 1.01
O (0.0050, 0.1747, 0.8816)  1 H 1.00
O (0.0075, 0.6206, 0.6116)  1 H 0.98
O (0.0178, 0.3702, 0.8397)  1 H 0.98
O (0.0411, 0.6573, 0.7978)  1 H 0.98
O (0.1166, 0.6698, 0.4105)  2 H 0.99
O (0.1370, 0.0474, 0.8993)  2 B 1.36-1.51
O (0.1392, 0.5157, 0.6904)  2 B 1.38-1.52
O (0.1406, 0.0555, 0.4040)  2 B 1.37-1.50
O (0.1547, 0.5152, 0.1426)  2 B 1.37-1.51
O (0.1603, 0.6483, 0.0435)  1 H 0.98
O (0.2083, 0.1598, 0.7848)  2 B 1.37-1.51
O (0.2077, 0.1748, 0.2945)  2 B 1.37-1.51
O (0.2526, 0.9086, 0.3996)  1 H 0.98
O (0.2553, 0.7169, 0.2293)  2 B 1.47-1.49
O (0.2594, 0.9083, 0.9085)  1 H 0.98
O (0.2597, 0.7167, 0.7173)  2 B 1.46
O (0.2897, 0.3969, 0.6915)  1 H 0.99
O (0.3100, 0.4012, 0.1574)  1 H 0.99
O (0.3184, 0.0960, 0.1443)  2 B 1.38-1.51
O (0.3264, 0.0807, 0.6403)  2 B 1.38-1.51
O (0.3370, 0.0330, 0.2938)  2 B 1.46-1.47
O (0.3408, 0.0234, 0.7950)  2 B 1.47-1.48
O (0.3889, 0.5898, 0.9526)  2 H 1.00
O (0.4035, 0.1057, 0.9814)  2 B 1.37-1.51
O (0.4078, 0.1023, 0.4793)  2 B 1.36-1.50
O (0.4162, 0.5914, 0.7177)  2 B 1.38-1.51
O (0.4247, 0.5997, 0.2149)  2 B 1.37-1.52
O (0.4635, 0.7560, 0.8626)  2 B 1.38-1.49
O (0.4692, 0.7598, 0.3644)  2 B 1.38-1.48
O (0.4751, 0.6301, 0.4943)  2 H 0.99-1.00
O (0.4826, 0.2261, 0.3082)  2 B 1.47-1.48
O (0.4859, 0.2134, 0.8035)  2 B 1.45-1.46
O (0.5141, 0.7866, 0.1965)  2 B 1.45-1.46
O (0.5174, 0.7739, 0.6918)  2 B 1.47-1.48
O (0.5249, 0.3699, 0.5057)  2 H 0.99-1.00
O (0.5308, 0.2402, 0.6356)  2 B 1.38-1.48
O (0.5365, 0.2440, 0.1374)  2 B 1.38-1.49
O (0.5753, 0.4003, 0.7851)  2 B 1.37-1.52
O (0.5838, 0.4086, 0.2823)  2 B 1.38-1.51
O (0.5922, 0.8977, 0.5207)  2 B 1.36-1.50
O (0.5965, 0.8943, 0.0186)  2 B 1.37-1.51
O (0.6111, 0.4102, 0.0474)  2 H 1.00
O (0.6592, 0.9766, 0.2050)  2 B 1.47-1.48
O (0.6630, 0.9670, 0.7062)  2 B 1.46-1.47
O (0.6736, 0.9193, 0.3597)  2 B 1.38-1.51
O (0.6816, 0.9040, 0.8557)  2 B 1.38-1.51
O (0.6900, 0.5988, 0.8426)  1 H 0.99
O (0.7103, 0.6031, 0.3085)  1 H 0.99
O (0.7403, 0.2833, 0.2827)  2 B 1.46
O (0.7406, 0.0917, 0.0915)  1 H 0.98
O (0.7447, 0.2831, 0.7707)  2 B 1.47-1.49
O (0.7474, 0.0914, 0.6004)  1 H 0.98
O (0.7923, 0.8252, 0.7055)  2 B 1.37-1.51
O (0.7917, 0.8402, 0.2152)  2 B 1.37-1.51
O (0.8397, 0.3517, 0.9565)  1 H 0.98
O (0.8453, 0.4848, 0.8574)  2 B 1.37-1.51
O (0.8594, 0.9445, 0.5960)  2 B 1.37-1.50
O (0.8608, 0.4843, 0.3096)  2 B 1.38-1.52
O (0.8630, 0.9526, 0.1007)  2 B 1.36-1.51
O (0.8834, 0.3302, 0.5895)  2 H 0.99
O (0.9589, 0.3427, 0.2022)  1 H 0.98
O (0.9822, 0.6298, 0.1603)  1 H 0.98
O (0.9925, 0.3794, 0.3884)  1 H 0.98
O (0.9950, 0.8253, 0.1184)  1 H 1.00
O (0.9956, 0.8188, 0.6051)  1 H 1.01

Computed properties:
The value obtained for the volume is 10.69 Å³/atom. The density of states at the Fermi level is 0.0000 states/eV per atom. The space-group type is P-1 (2). The calculation puts the final energy at -6.637 eV per atom. As for the size of the total moment: 0.000 μB per atom.